# LiHg3W

LiHg3W after structural relaxation (PBE-GGA, the Alexandria database).

Cell lengths 4.613, 4.613, 4.613 Å; angles 90.00, 90.00, 90.00 degrees
Fractional positions:
Hg 0.000 0.500 0.000
Hg 0.500 0.000 0.000
Hg 0.000 0.000 0.500
Li 0.000 0.000 0.000
W 0.500 0.500 0.500

total energy: -2.05 eV per atom
excess energy over the best structure of this formula in the dataset: 0.292 eV/atom
SG: No. 221
calculated formation energy: 1.107 eV/atom
Fermi-level density of states: 3.0 states/eV/f.u.
total moment: 1.533 μB/cell